Crystalline GaFeAgF6 at its relaxed geometry, computed with GGA+U.

* SG: No. 163
* energy: -4.742 eV/atom
* total magnetic moment: 0.446 μB/atom
* V: 14.7 Å³/atom

```
18
Lattice="5.435 0.000 0.000 -2.717 4.707 0.000 0.000 0.000 10.353" Properties=species:S:1:pos:R:3 pbc="T T T"
Ga 0.000 3.138 2.588
Ga 2.717 1.569 7.765
Fe 0.000 3.138 7.765
Fe 2.717 1.569 2.588
Ag 0.000 0.000 0.000
Ag 0.000 0.000 5.176
F -0.912 1.806 1.528
F -1.610 3.014 3.649
F 0.912 1.806 3.649
F -0.698 4.594 1.528
F 2.020 0.113 6.704
F 1.108 1.693 8.825
F 1.610 3.014 1.528
F 0.698 4.594 3.649
F 3.415 0.113 8.825
F 1.805 2.901 6.704
F 4.327 1.693 6.704
F 3.630 2.901 8.825
```